Entry 1:
Computed, not measured: a relaxed LaH crystal at the PBE level of DFT.

POSCAR file:
```
LaH
1.0
6.575 0.000 0.000
0.000 6.575 0.000
0.000 0.000 4.031
La H
4 4
Cartesian
1.963 1.963 0.000 La
4.612 4.612 0.000 La
5.250 1.324 2.015 La
1.324 5.250 2.015 La
2.245 4.330 0.000 H
4.330 2.245 0.000 H
5.532 5.532 2.015 H
1.043 1.043 2.015 H
```

Space-group type ... P4_2/mnm, No. 136
Uncorrected energy ... -4.53 eV per atom
Calculated density ... 5.33 g/cm3
Crystal system ... tetragonal

***

Entry 2:
Computed, not measured: a relaxed LaH crystal at the PBE level of DFT.

POSCAR file:
```
LaH
1.0
9.302 0.000 0.000
-4.651 8.056 0.000
0.000 0.000 3.883
H La
6 6
Cartesian
5.614 0.238 0.971 H
2.601 4.981 2.912 H
-0.963 7.817 2.912 H
6.288 4.743 0.971 H
2.050 3.074 0.971 H
-1.637 3.313 2.912 H
6.673 2.401 0.971 La
-2.022 5.654 2.912 La
3.394 1.076 0.971 La
1.257 6.980 2.912 La
0.765 3.478 2.912 La
3.886 4.578 0.971 La
```

Space-group type ... P6_3/m, No. 176
Uncorrected energy ... -4.43 eV per atom
Calculated density ... 4.79 g/cm3
Crystal system ... hexagonal

***

Entry 3:
Computed, not measured: a relaxed LaH crystal at the PBE level of DFT.

POSCAR file:
```
LaH
1.0
-9.289 -2.249 -0.262
-0.128 -0.584 9.542
-0.911 3.740 0.217
H La
8 8
Cartesian
-6.548 0.293 1.695 H
-8.215 -2.246 4.218 H
-8.117 -0.346 6.128 H
-2.212 1.253 3.368 H
-1.202 -0.586 5.062 H
-5.071 -1.713 8.238 H
-4.346 -1.119 1.042 H
-3.780 0.614 7.801 H
-0.581 -0.302 2.764 La
-6.591 -1.628 0.373 La
-2.891 0.957 5.617 La
-2.826 -1.204 8.908 La
-7.437 -0.050 3.880 La
-8.836 -2.531 6.516 La
-4.350 0.787 2.425 La
-5.978 0.121 7.072 La
```

Space-group type ... P4/m, No. 83
Uncorrected energy ... -4.48 eV per atom
Calculated density ... 5.27 g/cm3
Crystal system ... tetragonal

***

Entry 4:
Computed, not measured: a relaxed La3H crystal at the PBE level of DFT.

POSCAR file:
```
La3H
1.0
3.505 0.000 0.000
0.000 6.061 0.000
-1.752 -3.031 5.165
La H
3 1
Cartesian
1.752 -0.680 1.832 La
1.752 2.135 0.000 La
0.000 2.351 3.333 La
0.000 0.235 0.000 H
```

Space-group type ... Imm2, No. 44
Uncorrected energy ... -4.60 eV per atom
Calculated density ... 6.32 g/cm3
Crystal system ... orthorhombic

***

Entry 5:
Computed, not measured: a relaxed LaH crystal at the PBE level of DFT.

POSCAR file:
```
LaH
1.0
8.083 0.000 0.000
0.000 11.141 0.000
0.000 0.000 7.658
H La
16 16
Cartesian
4.042 6.911 0.000 H
4.042 9.801 3.829 H
0.000 6.911 3.829 H
4.042 4.230 0.000 H
0.000 1.340 0.000 H
6.063 7.015 5.743 H
2.021 4.126 5.743 H
4.042 1.340 3.829 H
6.063 9.696 5.743 H
2.021 1.445 5.743 H
6.063 1.445 1.914 H
2.021 7.015 1.914 H
2.021 9.696 1.914 H
6.063 4.126 1.914 H
0.000 9.801 0.000 H
0.000 4.230 3.829 H
4.097 8.356 5.743 La
6.118 0.000 0.000 La
0.056 8.356 1.914 La
3.986 8.356 1.914 La
1.965 5.571 3.829 La
6.007 0.000 3.829 La
6.118 5.571 3.829 La
6.007 5.571 0.000 La
1.965 0.000 0.000 La
3.986 2.785 5.743 La
8.028 2.785 1.914 La
2.076 0.000 3.829 La
2.076 5.571 0.000 La
8.028 8.356 5.743 La
0.056 2.785 5.743 La
4.097 2.785 1.914 La
```

Space-group type ... Fddd, No. 70
Uncorrected energy ... -4.57 eV per atom
Calculated density ... 5.39 g/cm3
Crystal system ... orthorhombic

***

Entry 6:
Computed, not measured: a relaxed La4H crystal at the PBE level of DFT.

POSCAR file:
```
La4H
1.0
-4.263 1.850 -2.485
-3.074 -2.006 3.781
0.381 4.508 2.702
La H
4 1
Cartesian
0.000 0.000 0.000 La
-1.347 1.251 3.241 La
-3.669 -0.078 0.648 La
-1.941 3.179 0.108 La
-3.478 2.176 1.999 H
```

Space-group type ... Pm-3m, No. 221
Uncorrected energy ... -4.80 eV per atom
Calculated density ... 6.32 g/cm3
Crystal system ... cubic

***

Entry 7:
Computed, not measured: a relaxed LaH2 crystal at the PBE level of DFT.

POSCAR file:
```
LaH2
1.0
-2.592 3.016 -2.521
-3.493 2.394 2.059
0.423 4.635 0.713
H La
4 2
Cartesian
-3.750 3.961 -0.200 H
-3.539 6.278 0.157 H
-1.792 5.081 -0.873 H
-2.243 4.770 1.417 H
-1.415 2.511 0.063 La
0.000 0.000 0.000 La
```

Space-group type ... Fd-3m, No. 227
Uncorrected energy ... -3.45 eV per atom
Calculated density ... 6.34 g/cm3
Crystal system ... cubic

***

Entry 8:
Computed, not measured: a relaxed LaH2 crystal at the PBE level of DFT.

POSCAR file:
```
LaH2
1.0
-3.001 0.025 2.618
0.601 -1.257 3.731
0.002 2.613 3.006
H La
2 1
Cartesian
-0.600 0.345 2.339 H
-1.799 1.036 7.016 H
0.000 0.000 0.000 La
```

Space-group type ... Fm-3m, No. 225
Uncorrected energy ... -4.53 eV per atom
Calculated density ... 5.24 g/cm3
Crystal system ... cubic

***

Entry 9:
Computed, not measured: a relaxed La2H5 crystal at the PBE level of DFT.

POSCAR file:
```
La2H5
1.0
-6.057 3.046 -1.139
-1.298 0.311 -6.744
1.890 -5.165 4.125
H La
10 4
Cartesian
-1.979 -3.182 2.513 H
-5.775 2.689 -3.576 H
-5.502 0.447 -4.785 H
-3.922 -0.220 -0.478 H
-0.054 -2.203 1.134 H
-1.648 0.535 -4.301 H
-1.529 -3.658 -2.153 H
0.000 0.000 0.000 H
-3.573 -0.444 -2.921 H
-1.802 -1.416 -0.943 H
-5.549 2.532 -5.947 La
-5.728 0.604 -2.414 La
-1.806 0.824 -1.936 La
-2.116 -1.045 1.458 La
```

Space-group type ... I4_1/amd, No. 141
Calculated density ... 5.41 g/cm3
Relative energy among the computed polymorphs ... 0.0 kJ/mol of atoms
Crystal system ... tetragonal

***

Entry 10:
Computed, not measured: a relaxed LaH crystal at the PBE level of DFT.

POSCAR file:
```
LaH
1.0
-2.566 -1.997 -1.285
2.238 -1.321 2.338
-4.069 1.996 5.024
La H
2 2
Cartesian
-2.035 0.998 2.512 La
0.000 0.000 0.000 La
-4.016 -0.274 3.691 H
-0.380 -1.047 2.386 H
```

Space-group type ... P6_3/mmc, No. 194
Uncorrected energy ... -4.41 eV per atom
Calculated density ... 6.49 g/cm3
Crystal system ... hexagonal

***

Entry 11:
Computed, not measured: a relaxed LaH3 crystal at the PBE level of DFT.

POSCAR file:
```
LaH3
1.0
-0.100 -1.252 -3.661
-2.163 -3.019 1.091
-1.210 3.649 0.831
H La
3 1
Cartesian
-2.252 -0.753 0.319 H
-1.131 -2.135 -1.285 H
-1.221 0.131 -2.057 H
0.000 0.000 0.000 La
```

Space-group type ... I4/mmm, No. 139
Calculated density ... 5.57 g/cm3
Relative energy among the computed polymorphs ... 0.0 kJ/mol of atoms
Crystal system ... tetragonal

***

Entry 12:
Computed, not measured: a relaxed LaH3 crystal at the PBE level of DFT.

POSCAR file:
```
LaH3
1.0
3.507 0.000 0.000
0.000 3.507 0.000
0.000 0.000 3.507
La H
1 3
Cartesian
0.000 0.000 0.292 La
1.753 0.000 2.044 H
0.000 1.753 2.047 H
1.753 1.753 0.292 H
```

Space-group type ... Pm-3m, No. 221
Calculated density ... 5.47 g/cm3
Relative energy among the computed polymorphs ... 15.7 kJ/mol of atoms
Crystal system ... cubic

***

Entry 13:
Computed, not measured: a relaxed LaH crystal at the PBE level of DFT.

POSCAR file:
```
LaH
1.0
3.776 0.000 0.000
0.000 10.434 0.000
0.000 0.000 6.072
H La
6 6
Cartesian
0.000 5.217 0.220 H
1.888 2.940 0.387 H
0.000 0.000 3.256 H
1.888 7.494 0.387 H
1.888 8.157 3.423 H
1.888 2.277 3.423 H
0.000 3.449 4.775 La
1.888 0.000 4.650 La
0.000 6.985 4.775 La
0.000 8.667 1.739 La
0.000 1.768 1.739 La
1.888 5.217 1.613 La
```

Space-group type ... Amm2, No. 38
Uncorrected energy ... -4.51 eV per atom
Calculated density ... 5.83 g/cm3
Crystal system ... orthorhombic

***

Entry 14:
Computed, not measured: a relaxed LaH crystal at the PBE level of DFT.

POSCAR file:
```
LaH
1.0
9.606 0.000 0.000
0.000 9.606 0.000
0.000 0.000 3.828
La H
8 8
Cartesian
4.074 2.329 0.000 La
7.277 4.074 0.000 La
7.132 0.729 1.914 La
8.877 7.132 1.914 La
5.532 7.277 0.000 La
0.729 2.474 1.914 La
2.474 8.877 1.914 La
2.329 5.532 0.000 La
2.938 1.607 1.914 H
6.410 1.865 0.000 H
7.999 2.938 1.914 H
1.607 6.668 1.914 H
7.741 6.410 0.000 H
3.196 7.741 0.000 H
6.668 7.999 1.914 H
1.865 3.196 0.000 H
```

Space-group type ... I4/m, No. 87
Uncorrected energy ... -4.52 eV per atom
Calculated density ... 5.26 g/cm3
Crystal system ... tetragonal

***

Entry 15:
Computed, not measured: a relaxed LaH crystal at the PBE level of DFT.

POSCAR file:
```
LaH
1.0
-3.038 2.104 6.172
-6.126 -3.253 -1.907
2.233 -6.062 3.165
H La
8 8
Cartesian
-7.785 -1.744 4.131 H
-4.305 -4.478 4.614 H
-1.450 -3.873 7.976 H
-3.790 -7.932 1.853 H
-0.839 -0.873 0.899 H
-3.362 -2.223 4.310 H
-4.110 -3.520 2.354 H
-2.086 -4.200 3.582 H
-3.202 -0.081 5.232 La
0.052 -5.122 3.376 La
-2.448 -3.740 5.866 La
-5.606 -5.831 6.008 La
-5.646 -2.666 3.925 La
-5.108 -3.388 0.244 La
-3.630 -5.790 2.775 La
-2.140 -2.226 2.293 La
```

Space-group type ... I-43m, No. 217
Uncorrected energy ... -4.41 eV per atom
Calculated density ... 4.99 g/cm3
Crystal system ... cubic

***

Entry 16:
Computed, not measured: a relaxed La2H5 crystal at the PBE level of DFT.

POSCAR file:
```
La2H5
1.0
0.526 4.356 -2.498
-2.867 -2.290 -4.597
-3.882 0.847 5.762
H La
10 4
Cartesian
-2.451 2.050 0.507 H
-1.039 2.122 -4.172 H
-3.772 0.863 -1.841 H
-2.980 0.583 -4.714 H
-4.899 2.976 -0.946 H
-2.714 -0.128 1.757 H
-3.508 3.041 -3.090 H
-3.243 2.331 3.381 H
-1.302 -0.056 -2.923 H
-1.324 -0.062 -0.387 H
-4.574 0.828 0.481 La
-1.649 2.085 -1.814 La
-3.405 -1.285 -2.958 La
-2.818 4.199 1.625 La
```

Space-group type ... Ibam, No. 72
Calculated density ... 5.43 g/cm3
Relative energy among the computed polymorphs ... 3.7 kJ/mol of atoms
Crystal system ... orthorhombic

***

Entry 17:
Computed, not measured: a relaxed LaH crystal at the PBE level of DFT.

POSCAR file:
```
LaH
1.0
6.543 0.000 0.000
0.000 6.407 0.000
0.000 0.000 7.992
La H
8 8
Cartesian
1.767 6.364 6.104 La
1.708 3.344 3.793 La
1.563 3.063 7.789 La
4.834 0.140 0.203 La
4.980 6.267 4.199 La
1.504 0.043 2.108 La
5.039 3.246 1.889 La
4.775 3.161 5.885 La
3.988 0.903 6.092 H
0.717 2.301 1.900 H
0.717 5.507 4.141 H
5.826 2.304 7.847 H
2.555 4.106 5.897 H
2.554 0.900 0.145 H
3.988 4.103 3.851 H
5.826 5.504 2.096 H
```

Space-group type ... P2_12_12_1, No. 19
Uncorrected energy ... -4.50 eV per atom
Calculated density ... 5.55 g/cm3
Crystal system ... orthorhombic

***

Entry 18:
Computed, not measured: a relaxed LaH crystal at the PBE level of DFT.

POSCAR file:
```
LaH
1.0
3.929 0.000 0.000
-1.965 3.403 0.000
0.000 0.000 19.001
La H
6 6
Cartesian
0.000 0.000 0.000 La
0.000 2.269 12.668 La
0.000 2.269 3.167 La
1.965 1.134 15.834 La
1.965 1.134 6.334 La
0.000 0.000 9.501 La
1.965 1.134 3.947 H
0.000 2.269 15.054 H
1.965 1.134 8.720 H
0.000 0.000 2.386 H
0.000 2.269 10.281 H
0.000 0.000 16.615 H
```

Space-group type ... R-3m, No. 166
Uncorrected energy ... -4.61 eV per atom
Calculated density ... 5.49 g/cm3
Crystal system ... trigonal

***

Entry 19:
Computed, not measured: a relaxed Li2LaH crystal at the PBE level of DFT.

POSCAR file:
```
Li2LaH
1.0
-2.222 -4.039 1.596
-4.844 -0.433 -0.384
-1.922 -3.149 -3.191
Li La H
2 1 1
Cartesian
-6.741 -5.716 -1.484 Li
-2.247 -1.905 -0.495 Li
-4.494 -3.811 -0.990 La
0.000 0.000 0.000 H
```

Space-group type ... Fm-3m, No. 225
Calculated density ... 3.11 g/cm3
Relative energy among the computed polymorphs ... 63.6 kJ/mol of atoms
Crystal system ... cubic

***

Entry 20:
Computed, not measured: a relaxed LiLaH2 crystal at the PBE level of DFT.

POSCAR file:
```
LiLaH2
1.0
0.000 3.017 3.017
3.017 0.000 3.017
3.017 3.017 0.000
H Li La
2 1 1
Cartesian
1.509 1.509 1.509 H
4.526 4.526 4.526 H
0.000 0.000 0.000 Li
3.017 3.017 3.017 La
```

Space-group type ... Fm-3m, No. 225
Calculated density ... 4.47 g/cm3
Relative energy among the computed polymorphs ... 15.2 kJ/mol of atoms
Crystal system ... cubic

***

Entry 21:
Computed, not measured: a relaxed LiLaH2 crystal at the PBE level of DFT.

POSCAR file:
```
LiLaH2
1.0
6.438 0.000 0.000
0.000 6.709 0.180
0.000 -3.072 5.715
La H Li
4 8 4
Cartesian
4.108 0.171 2.765 La
0.889 1.648 0.183 La
2.330 3.467 3.130 La
5.549 1.989 5.712 La
4.283 2.352 3.761 H
2.155 1.286 2.134 H
3.934 4.718 1.790 H
5.374 0.533 0.814 H
2.504 -1.080 4.105 H
1.064 3.105 5.081 H
5.723 -0.173 4.557 H
0.715 3.810 1.338 H
5.501 3.470 2.738 Li
4.156 -1.421 5.505 Li
0.937 0.168 3.157 Li
2.282 5.058 0.390 Li
```

Space-group type ... P2_1/c, No. 14
Calculated density ... 3.92 g/cm3
Relative energy among the computed polymorphs ... 0.0 kJ/mol of atoms
Crystal system ... monoclinic

***

Entry 22:
Computed, not measured: a relaxed LiLaH2 crystal at the PBE level of DFT.

POSCAR file:
```
LiLaH2
1.0
3.422 0.000 0.000
1.711 2.964 0.000
1.711 0.988 6.010
H La Li
2 1 1
Cartesian
1.711 0.988 1.511 H
1.711 0.988 4.363 H
5.133 2.964 5.985 La
3.422 1.976 3.165 Li
```

Space-group type ... R3m, No. 160
Calculated density ... 4.03 g/cm3
Relative energy among the computed polymorphs ... 16.9 kJ/mol of atoms
Crystal system ... trigonal